(1)
Entry from the Alexandria database: crystalline LaBeZnAg2 at its relaxed geometry (PBE).

Unit cell a=4.7051 b=4.7051 c=4.5233 alpha=90.00 beta=90.00 gamma=90.00
Last column: nearest neighbours and their distance in Å.
Atoms (fractional coordinates):
Be: 0.0000 0.0000 0.0000  2 Zn 2.26, 4 Ag 2.35
Zn: 0.0000 0.0000 0.5000  2 Be 2.26
Ag: 0.0000 0.5000 0.0000  2 Be 2.35
Ag: 0.5000 0.0000 0.0000  2 Be 2.35
La: 0.5000 0.5000 0.5000  8 Ag 3.26, 4 Zn 3.33

Values from the calculation:
**DOS at the Fermi energy**: 2.36 states/eV/cell


(2)
Entry from the Alexandria database: crystalline Li4BeAg at its relaxed geometry (PBE).

Unit cell a=4.9353 b=4.9353 c=4.9353 alpha=60.00 beta=60.00 gamma=60.00
Last column: nearest neighbours and their distance in Å.
Atoms (fractional coordinates):
Li: 0.8759 0.3747 0.3747  6 Li 2.46-2.47
Li: 0.3747 0.3747 0.8759  6 Li 2.46-2.47
Li: 0.3747 0.8759 0.3747  6 Li 2.46-2.47
Li: 0.3747 0.3747 0.3747  6 Li 2.46-2.47
Be: 0.0000 0.0000 0.0000  12 Li 2.89, 4 Ag 3.02
Ag: 0.7500 0.7500 0.7500  12 Li 2.89, 4 Be 3.02

Values from the calculation:
**DOS at the Fermi energy**: 2.34 states/eV/cell


(3)
Entry from the Alexandria database: crystalline LiBe3Ag at its relaxed geometry (PBE).

Unit cell a=3.9342 b=3.9342 c=3.9342 alpha=90.00 beta=90.00 gamma=90.00
Last column: nearest neighbours and their distance in Å.
Atoms (fractional coordinates):
Be: 0.0000 0.5000 0.0000  2 Li 1.97
Be: 0.0000 0.0000 0.5000  2 Li 1.97
Be: 0.5000 0.0000 0.0000  2 Li 1.97
Ag: 0.5000 0.5000 0.5000  12 Be 2.78
Li: 0.0000 0.0000 0.0000  6 Be 1.97

Values from the calculation:
**Offset from the most stable computed form**: 258 meV per atom
**DOS at the Fermi energy**: 1.09 states/eV/cell


(4)
Entry from the Alexandria database: crystalline LiBe2Ag2 at its relaxed geometry (PBE).

Unit cell a=4.1249 b=4.1249 c=4.2741 alpha=90.00 beta=90.00 gamma=90.00
Last column: nearest neighbours and their distance in Å.
Atoms (fractional coordinates):
Be: 0.0000 0.5000 0.0000  2 Li 2.06
Be: 0.5000 0.0000 0.0000  2 Li 2.06
Ag: 0.5000 0.5000 0.5000  4 Ag 2.92, 8 Be 2.97
Ag: 0.0000 0.0000 0.5000  2 Li 2.14
Li: 0.0000 0.0000 0.0000  4 Be 2.06, 2 Ag 2.14

Values from the calculation:
**Offset from the most stable computed form**: 829 meV per atom
**DOS at the Fermi energy**: 1.88 states/eV/cell


(5)
Entry from the Alexandria database: crystalline LiBe2Ag2 at its relaxed geometry (PBE).

Unit cell a=6.8060 b=6.8060 c=2.8802 alpha=90.00 beta=90.00 gamma=90.00
Last column: nearest neighbours and their distance in Å.
Atoms (fractional coordinates):
Be: 0.3807 0.8807 0.0000  1 Be 2.30, 6 Ag 2.45-2.49
Be: 0.8807 0.6193 0.0000  1 Be 2.30, 6 Ag 2.45-2.49
Be: 0.6193 0.1193 0.0000  1 Be 2.30, 6 Ag 2.45-2.49
Be: 0.1193 0.3807 0.0000  1 Be 2.30, 6 Ag 2.45-2.49
Ag: 0.1748 0.6748 0.5000  6 Be 2.45-2.49
Ag: 0.6748 0.8252 0.5000  6 Be 2.45-2.49
Ag: 0.8252 0.3252 0.5000  6 Be 2.45-2.49
Ag: 0.3252 0.1748 0.5000  6 Be 2.45-2.49
Li: 0.0000 0.0000 0.0000  4 Be 2.72, 2 Li 2.88, 8 Ag 2.90
Li: 0.5000 0.5000 0.0000  4 Be 2.72, 2 Li 2.88, 8 Ag 2.90

Values from the calculation:
**Offset from the most stable computed form**: 0 meV per atom
**DOS at the Fermi energy**: 3.71 states/eV/cell


(6)
Entry from the Alexandria database: crystalline LiBe2Ag2 at its relaxed geometry (PBE).

Unit cell a=3.2315 b=3.2315 c=6.9908 alpha=76.64 beta=76.64 gamma=90.00
Last column: nearest neighbours and their distance in Å.
Atoms (fractional coordinates):
Be: 0.7500 0.2500 0.5000  4 Be 2.28, 4 Ag 2.46
Be: 0.2500 0.7500 0.5000  4 Be 2.28, 4 Ag 2.46
Ag: 0.3902 0.3902 0.2197  4 Be 2.46, 4 Li 2.71
Ag: 0.6098 0.6098 0.7803  4 Be 2.46, 4 Li 2.71
Li: 0.0000 0.0000 0.0000  8 Ag 2.71

Values from the calculation:
**Offset from the most stable computed form**: 106 meV per atom
**DOS at the Fermi energy**: 1.59 states/eV/cell


(7)
Entry from the Alexandria database: crystalline Li2Be2Ag at its relaxed geometry (PBE).

Unit cell a=6.5898 b=6.5898 c=2.8649 alpha=90.00 beta=90.00 gamma=90.00
Last column: nearest neighbours and their distance in Å.
Atoms (fractional coordinates):
Be: 0.3805 0.8805 0.0000  1 Be 2.23, 6 Li 2.41-2.42
Be: 0.8805 0.6195 0.0000  1 Be 2.23, 6 Li 2.41-2.42
Be: 0.6195 0.1195 0.0000  1 Be 2.23, 6 Li 2.41-2.42
Be: 0.1195 0.3805 0.0000  1 Be 2.23, 6 Li 2.41-2.42
Ag: 0.0000 0.0000 0.0000  4 Be 2.63, 8 Li 2.83, 2 Ag 2.86
Ag: 0.5000 0.5000 0.0000  4 Be 2.63, 8 Li 2.83, 2 Ag 2.86
Li: 0.1725 0.6725 0.5000  6 Be 2.41-2.42
Li: 0.6725 0.8275 0.5000  6 Be 2.41-2.42
Li: 0.8275 0.3275 0.5000  6 Be 2.41-2.42
Li: 0.3275 0.1725 0.5000  6 Be 2.41-2.42

Values from the calculation:
**Offset from the most stable computed form**: 0 meV per atom
**DOS at the Fermi energy**: 3.46 states/eV/cell


(8)
Entry from the Alexandria database: crystalline LiBeAg4 at its relaxed geometry (PBE).

Unit cell a=5.4423 b=5.4423 c=5.4423 alpha=60.00 beta=60.00 gamma=60.00
Last column: nearest neighbours and their distance in Å.
Atoms (fractional coordinates):
Li: 0.0000 0.0000 0.0000  12 Ag 3.19, 4 Be 3.33
Be: 0.7500 0.7500 0.7500  12 Ag 3.19, 4 Li 3.33
Ag: 0.8745 0.3752 0.3752  6 Ag 2.72
Ag: 0.3752 0.3752 0.8745  6 Ag 2.72
Ag: 0.3752 0.8745 0.3752  6 Ag 2.72
Ag: 0.3752 0.3752 0.3752  6 Ag 2.72

Values from the calculation:
**DOS at the Fermi energy**: 2.27 states/eV/cell


(9)
Entry from the Alexandria database: crystalline Li6BeAg12 at its relaxed geometry (PBE).

Unit cell a=6.8292 b=6.8292 c=6.8292 alpha=90.60 beta=90.60 gamma=90.60
Last column: nearest neighbours and their distance in Å.
Atoms (fractional coordinates):
Li: 0.7185 0.8882 0.2648  8 Ag 2.69-2.91, 1 Be 2.76, 2 Li 2.89
Li: 0.7352 0.2815 0.1118  8 Ag 2.69-2.91, 1 Be 2.76, 2 Li 2.89
Li: 0.1118 0.7352 0.2815  8 Ag 2.69-2.91, 1 Be 2.76, 2 Li 2.89
Li: 0.2815 0.1118 0.7352  8 Ag 2.69-2.91, 1 Be 2.76, 2 Li 2.89
Li: 0.2648 0.7185 0.8882  8 Ag 2.69-2.91, 1 Be 2.76, 2 Li 2.89
Li: 0.8882 0.2648 0.7185  8 Ag 2.69-2.91, 1 Be 2.76, 2 Li 2.89
Be: 0.0000 0.0000 0.0000  6 Ag 2.59, 6 Li 2.76
Ag: 0.8014 0.5337 0.4434  4 Li 2.71-2.86, 4 Ag 2.83-2.86
Ag: 0.4434 0.8014 0.5337  4 Li 2.71-2.86, 4 Ag 2.83-2.86
Ag: 0.5337 0.4434 0.8014  4 Li 2.71-2.86, 4 Ag 2.83-2.86
Ag: 0.1986 0.4663 0.5566  4 Li 2.71-2.86, 4 Ag 2.83-2.86
Ag: 0.5566 0.1986 0.4663  4 Li 2.71-2.86, 4 Ag 2.83-2.86
Ag: 0.4663 0.5566 0.1986  4 Li 2.71-2.86, 4 Ag 2.83-2.86
Ag: 0.0157 0.1441 0.3517  1 Be 2.59, 3 Li 2.69-2.78, 4 Ag 2.85-2.86
Ag: 0.8559 0.6483 0.9843  1 Be 2.59, 3 Li 2.69-2.78, 4 Ag 2.85-2.86
Ag: 0.6483 0.9843 0.8559  1 Be 2.59, 3 Li 2.69-2.78, 4 Ag 2.85-2.86
Ag: 0.9843 0.8559 0.6483  1 Be 2.59, 3 Li 2.69-2.78, 4 Ag 2.85-2.86
Ag: 0.1441 0.3517 0.0157  1 Be 2.59, 3 Li 2.69-2.78, 4 Ag 2.85-2.86
Ag: 0.3517 0.0157 0.1441  1 Be 2.59, 3 Li 2.69-2.78, 4 Ag 2.85-2.86

Values from the calculation:
**DOS at the Fermi energy**: 7.54 states/eV/cell


(10)
Entry from the Alexandria database: crystalline LiBe2Ag2 at its relaxed geometry (PBE).

Unit cell a=5.1719 b=5.1719 c=5.1719 alpha=131.47 beta=131.47 gamma=71.08
Last column: nearest neighbours and their distance in Å.
Atoms (fractional coordinates):
Li: 0.0000 0.0000 0.0000  8 Ag 2.99, 10 Be 3.15-3.19
Be: 0.6255 0.6255 0.0000  1 Be 2.11
Be: 0.3745 0.3745 0.0000  1 Be 2.11
Ag: 0.2500 0.7500 0.5000  4 Be 2.37
Ag: 0.7500 0.2500 0.5000  4 Be 2.37

Values from the calculation:
**Offset from the most stable computed form**: 202 meV per atom
**DOS at the Fermi energy**: 1.09 states/eV/cell


(11)
Entry from the Alexandria database: crystalline Li2BeAg2 at its relaxed geometry (PBE).

Unit cell a=6.9854 b=6.9854 c=2.9554 alpha=90.00 beta=90.00 gamma=90.00
Last column: nearest neighbours and their distance in Å.
Atoms (fractional coordinates):
Be: 0.0000 0.0000 0.0000  4 Li 2.77, 2 Be 2.96, 8 Ag 2.96
Be: 0.5000 0.5000 0.0000  4 Li 2.77, 2 Be 2.96, 8 Ag 2.96
Ag: 0.1785 0.6785 0.5000  6 Li 2.45-2.61
Ag: 0.6785 0.8215 0.5000  6 Li 2.45-2.61
Ag: 0.8215 0.3215 0.5000  6 Li 2.45-2.61
Ag: 0.3215 0.1785 0.5000  6 Li 2.45-2.61
Li: 0.3762 0.8762 0.0000  1 Li 2.45, 6 Ag 2.45-2.61
Li: 0.8762 0.6238 0.0000  1 Li 2.45, 6 Ag 2.45-2.61
Li: 0.6238 0.1238 0.0000  1 Li 2.45, 6 Ag 2.45-2.61
Li: 0.1238 0.3762 0.0000  1 Li 2.45, 6 Ag 2.45-2.61

Values from the calculation:
**Offset from the most stable computed form**: 112 meV per atom
**DOS at the Fermi energy**: 2.85 states/eV/cell


(12)
Entry from the Alexandria database: crystalline Li2BeAg2 at its relaxed geometry (PBE).

Unit cell a=6.2997 b=6.2997 c=4.0838 alpha=90.00 beta=90.00 gamma=90.00
Last column: nearest neighbours and their distance in Å.
Atoms (fractional coordinates):
Be: 0.0000 0.0000 0.0000  4 Ag 2.38
Be: 0.5000 0.5000 0.0000  4 Ag 2.38
Ag: 0.3440 0.8440 0.0000  2 Be 2.38, 2 Li 2.61
Ag: 0.8440 0.6560 0.0000  2 Be 2.38, 2 Li 2.61
Ag: 0.6560 0.1560 0.0000  2 Be 2.38, 2 Li 2.61
Ag: 0.1560 0.3440 0.0000  2 Be 2.38, 2 Li 2.61
Li: 0.1607 0.6607 0.5000  6 Ag 2.61-2.85, 1 Li 2.86
Li: 0.6607 0.8393 0.5000  6 Ag 2.61-2.85, 1 Li 2.86
Li: 0.8393 0.3393 0.5000  6 Ag 2.61-2.85, 1 Li 2.86
Li: 0.3393 0.1607 0.5000  6 Ag 2.61-2.85, 1 Li 2.86

Values from the calculation:
**Offset from the most stable computed form**: 0 meV per atom
**DOS at the Fermi energy**: 4.63 states/eV/cell


(13)
Entry from the Alexandria database: crystalline LiBe3Ag at its relaxed geometry (PBE).

Unit cell a=4.3657 b=4.3657 c=4.3657 alpha=90.00 beta=90.00 gamma=90.00
Last column: nearest neighbours and their distance in Å.
Atoms (fractional coordinates):
Be: 0.0000 0.5000 0.0000  2 Ag 2.18
Be: 0.0000 0.0000 0.5000  2 Ag 2.18
Be: 0.5000 0.0000 0.0000  2 Ag 2.18
Ag: 0.0000 0.0000 0.0000  6 Be 2.18
Li: 0.5000 0.5000 0.5000  12 Be 3.09

Values from the calculation:
**Offset from the most stable computed form**: 0 meV per atom
**DOS at the Fermi energy**: 1.63 states/eV/cell


no.,raw total energy (eV per atom),M_tot (μB/cell),DFT formation energy (eV per atom)
1,-3.192,0.0,-0.066
2,-2.140,0.0,0.233
3,-2.217,0.0,0.972
4,-2.151,0.0,0.863
5,-2.980,0.0,0.034
6,-2.874,0.0,0.140
7,-2.607,0.0,0.219
8,-2.507,0.0,0.334
9,-2.658,0.0,-0.057
10,-2.778,0.0,0.236
11,-2.474,0.0,0.177
12,-2.586,0.0,0.066
13,-2.474,0.0,0.714